No. 1
Rb2Tl4PbAu3: relaxed, PBE-GGA.

Cell: 5.271 5.271 11.580 Å, 90.00 90.00 90.00°
Space group P-4m2 (No. 115)
Inequivalent atoms, fractional coordinates:
Rb 0.000 0.500 0.249 (multiplicity 2)
Tl 0.000 0.000 0.500 (multiplicity 1)
Tl 0.000 0.500 0.861 (multiplicity 2)
Tl 0.500 0.500 0.500 (multiplicity 1)
Pb 0.500 0.500 0.000 (multiplicity 1)
Au 0.000 0.000 0.000 (multiplicity 1)
Au 0.000 0.500 0.614 (multiplicity 2)

Properties
* E_form: -13 kJ/mol of atoms
* crystal system: tetragonal
* density of states at the Fermi level: 0.3012 states/eV/atom

No. 2
RbPb2WAu: relaxed, PBE-GGA.

Cell: 5.522 5.522 5.937 Å, 90.00 90.00 90.00°
Space group P4/mmm (No. 123)
Inequivalent atoms, fractional coordinates:
Rb 0.000 0.000 0.000 (multiplicity 1)
Pb 0.000 0.500 0.500 (multiplicity 2)
W 0.500 0.500 0.000 (multiplicity 1)
Au 0.000 0.000 0.500 (multiplicity 1)

Properties
* E_form: 133 kJ/mol of atoms
* crystal system: tetragonal
* density of states at the Fermi level: 0.6047 states/eV/atom

No. 3
RbZnPbAu3: relaxed, PBE-GGA.

Cell: 7.069 7.268 7.410 Å, 90.06 90.02 108.64°
Space group P-1 (No. 2)
Inequivalent atoms, fractional coordinates:
Rb 0.220 0.490 0.250 (multiplicity 2)
Zn 0.127 0.137 0.750 (multiplicity 2)
Pb 0.420 0.905 0.750 (multiplicity 2)
Au 0.202 0.002 0.057 (multiplicity 2)
Au 0.202 0.002 0.443 (multiplicity 2)
Au 0.279 0.500 0.750 (multiplicity 2)

Properties
* E_form: -16 kJ/mol of atoms
* crystal system: triclinic
* density of states at the Fermi level: 0.3820 states/eV/atom

No. 4
RePbAu3: relaxed, PBE-GGA.

Cell: 5.074 5.074 5.074 Å, 90.00 90.00 90.00°
Space group Pm-3m (No. 221)
Inequivalent atoms, fractional coordinates:
Re 0.000 0.000 0.000 (multiplicity 1)
Pb 0.500 0.500 0.500 (multiplicity 1)
Au 0.000 0.000 0.500 (multiplicity 3)

Properties
* E_form: 91 kJ/mol of atoms
* crystal system: cubic
* density of states at the Fermi level: 1.2123 states/eV/atom
* energy above the most stable polymorph in this dataset: 0 meV per atom

No. 5
Re2PbAu: relaxed, PBE-GGA.

Cell: 3.260 3.260 6.736 Å, 90.00 90.00 90.00°
Space group P4/mmm (No. 123)
Inequivalent atoms, fractional coordinates:
Re 0.000 0.000 0.216 (multiplicity 2)
Pb 0.500 0.500 0.500 (multiplicity 1)
Au 0.500 0.500 0.000 (multiplicity 1)

Properties
* E_form: 105 kJ/mol of atoms
* crystal system: tetragonal
* density of states at the Fermi level: 0.5683 states/eV/atom

No. 6
RePb2Au: relaxed, PBE-GGA.

Cell: 3.631 3.631 6.460 Å, 90.00 90.00 90.00°
Space group P4/mmm (No. 123)
Inequivalent atoms, fractional coordinates:
Re 0.000 0.000 0.000 (multiplicity 1)
Pb 0.500 0.500 0.239 (multiplicity 2)
Au 0.000 0.000 0.500 (multiplicity 1)

Properties
* E_form: 71 kJ/mol of atoms
* crystal system: tetragonal
* density of states at the Fermi level: 0.5865 states/eV/atom
* energy above the most stable polymorph in this dataset: 163 meV per atom